[1]
DFT (GGA-PBE) results for crystalline CaRe2Ir at its relaxed geometry.

```
data_CaRe2Ir
_symmetry_space_group_name_H-M 'C 1 m 1'
_symmetry_Int_Tables_number 8
_symmetry_space_group_name_Hall 'C -2y'
_cell_length_a 9.2842
_cell_length_b 2.8105
_cell_length_c 5.5306
_cell_angle_alpha 90.00
_cell_angle_beta 99.36
_cell_angle_gamma 90.00
loop_
_atom_site_label
_atom_site_fract_x
_atom_site_fract_y
_atom_site_fract_z
Ca1 0.0000 0.0000 0.0000
Re1 0.0130 0.5000 0.4968
Re2 0.2736 0.5000 0.3445
Ir1 0.2389 0.0000 0.7355
```

Calculated values
Relative energy among the computed polymorphs ... 0.149 eV per atom
ΔH_f (0 K) ... 388 meV/atom
Magnetization ... 0.00 μB per atom

=====

[2]
DFT (GGA-PBE) results for crystalline NdHoTl at its relaxed geometry.

```
data_NdHoTl
_symmetry_space_group_name_H-M 'P 63/m m c'
_symmetry_Int_Tables_number 194
_symmetry_space_group_name_Hall '-P 6c 2c'
_cell_length_a 5.4858
_cell_length_b 5.4858
_cell_length_c 6.7906
_cell_angle_alpha 90.00
_cell_angle_beta 90.00
_cell_angle_gamma 120.00
loop_
_atom_site_label
_atom_site_fract_x
_atom_site_fract_y
_atom_site_fract_z
Nd1 0.0000 0.0000 0.0000
Ho1 0.3333 0.6667 0.2500
Tl1 0.3333 0.6667 0.7500
```

Calculated values
Relative energy among the computed polymorphs ... 0.005 eV per atom
ΔH_f (0 K) ... -259 meV/atom
Magnetization ... 0.00 μB per atom

=====

[3]
DFT (GGA-PBE) results for crystalline Pm4IrN at its relaxed geometry.

```
data_Pm4IrN
_symmetry_space_group_name_H-M 'I 41 m d'
_symmetry_Int_Tables_number 109
_symmetry_space_group_name_Hall 'I 4bw -2'
_cell_length_a 9.0902
_cell_length_b 9.0902
_cell_length_c 7.9122
_cell_angle_alpha 90.00
_cell_angle_beta 90.00
_cell_angle_gamma 90.00
loop_
_atom_site_label
_atom_site_fract_x
_atom_site_fract_y
_atom_site_fract_z
Pm1 0.0000 0.3033 0.0000
Pm2 0.0000 0.3093 0.4542
Ir1 0.0000 0.0000 0.4823
N1 0.0000 0.0000 0.9631
```

Calculated values
Uncorrected formation energy ... -0.626 eV per atom
Magnetization ... 0.00 μB per atom